Record 1
Below is a geometry-optimized TePdO2F structure, with properties calculated at the PBE-GGA level.

The total magnetic moment is 0.00 μB per formula unit. For the density, the calculation gives 6.795 Mg/m³.

The structure belongs to space group P4/mmm (No. 123); the cell edges are 4.108, 4.108 and 4.127 Å and the angles 90.00°, 90.00° and 90.00°. The distinct sites, in fractional coordinates, are Te at (0.000, 0.000, 0.000), Pd at (0.500, 0.500, 0.500), O at (0.000, 0.500, 0.500) and F at (0.500, 0.500, 0.000).

Record 2
Below is a geometry-optimized TiPdO2F structure, with properties calculated at the PBE-GGA level.

The total magnetic moment is 0.03 μB per formula unit. For the density, the calculation gives 5.255 Mg/m³.

The structure belongs to space group P4/mmm (No. 123); the cell edges are 4.002, 4.002 and 4.051 Å and the angles 90.00°, 90.00° and 90.00°. The distinct sites, in fractional coordinates, are Ti at (0.000, 0.000, 0.000), Pd at (0.500, 0.500, 0.500), O at (0.000, 0.500, 0.500) and F at (0.500, 0.500, 0.000).

Record 3
Below is a geometry-optimized TiPdO2F structure, with properties calculated at the PBE-GGA level.

The total magnetic moment is 1.01 μB per formula unit. For the density, the calculation gives 5.720 Mg/m³.

The structure belongs to space group P4/mmm (No. 123); the cell edges are 3.886, 3.886 and 3.946 Å and the angles 90.00°, 90.00° and 90.00°. The distinct sites, in fractional coordinates, are Ti at (0.000, 0.000, 0.000), Pd at (0.500, 0.500, 0.500), O at (0.000, 0.500, 0.000) and F at (0.000, 0.000, 0.500).

How do the records compare in uncorrected formation energy? In the order shown, they have -0.150 -0.478 -1.785 eV/atom.
How do the records compare in Fermi-level density of states? In the order shown, they have 2.85 7.86 2.25 states/eV/f.u..